one.
Here is a relaxed structure of KSn2Pd4 from Alexandria. Energies are from PBE.

abc: 8.2842 8.2842 4.1976
angles: 90.00 90.00 90.00
Last column: nearest neighbours and their distance in Å.
Fractional coordinates of all 14 atoms:
K 0.0000 0.0000 0.0000  6 Sn 3.21-3.38
K 0.5000 0.5000 0.5000  6 Sn 3.21-3.38
Sn 0.2261 0.2261 0.5000  6 Pd 2.69-2.76
Sn 0.2739 0.7261 0.0000  6 Pd 2.69-2.76
Sn 0.7261 0.2739 0.0000  6 Pd 2.69-2.76
Sn 0.7739 0.7739 0.5000  6 Pd 2.69-2.76
Pd 0.0838 0.6524 0.5000  3 Sn 2.69-2.76, 5 Pd 2.88-2.93
Pd 0.1524 0.4162 0.0000  3 Sn 2.69-2.76, 5 Pd 2.88-2.93
Pd 0.3476 0.9162 0.5000  3 Sn 2.69-2.76, 5 Pd 2.88-2.93
Pd 0.4162 0.1524 0.0000  3 Sn 2.69-2.76, 5 Pd 2.88-2.93
Pd 0.5838 0.8476 0.0000  3 Sn 2.69-2.76, 5 Pd 2.88-2.93
Pd 0.6524 0.0838 0.5000  3 Sn 2.69-2.76, 5 Pd 2.88-2.93
Pd 0.8476 0.5838 0.0000  3 Sn 2.69-2.76, 5 Pd 2.88-2.93
Pd 0.9162 0.3476 0.5000  3 Sn 2.69-2.76, 5 Pd 2.88-2.93

Results
- Fermi-level density of states: 4.91 states/eV/cell
- Total magnetic moment: 0.00 μB/f.u.



two.
Here is a relaxed structure of KSn2Pd4 from Alexandria. Energies are from PBE.

abc: 7.2433 7.2433 7.2433
angles: 109.77 109.77 108.87
Last column: nearest neighbours and their distance in Å.
Fractional coordinates of all 14 atoms:
K 0.2500 0.2500 0.0000  8 Pd 3.28
K 0.7500 0.7500 0.0000  8 Pd 3.28
Sn 0.1506 0.6506 0.8013  8 Pd 2.77-2.84
Sn 0.3494 0.1506 0.5000  8 Pd 2.77-2.84
Sn 0.6506 0.8494 0.5000  8 Pd 2.77-2.84
Sn 0.8494 0.3494 0.1987  8 Pd 2.77-2.84
Pd 0.0177 0.8086 0.5000  4 Pd 2.75-2.87, 4 Sn 2.77-2.84
Pd 0.1914 0.6914 0.2091  4 Pd 2.75-2.87, 4 Sn 2.77-2.84
Pd 0.3086 0.5177 0.5000  4 Pd 2.75-2.87, 4 Sn 2.77-2.84
Pd 0.4823 0.9823 0.7909  4 Pd 2.75-2.87, 4 Sn 2.77-2.84
Pd 0.5177 0.0177 0.2091  4 Pd 2.75-2.87, 4 Sn 2.77-2.84
Pd 0.6914 0.4823 0.5000  4 Pd 2.75-2.87, 4 Sn 2.77-2.84
Pd 0.8086 0.3086 0.7909  4 Pd 2.75-2.87, 4 Sn 2.77-2.84
Pd 0.9823 0.1914 0.5000  4 Pd 2.75-2.87, 4 Sn 2.77-2.84

Results
- Fermi-level density of states: 7.69 states/eV/cell
- Total magnetic moment: 0.00 μB/f.u.



Stability order, top to bottom: two, one



one.
Here is a relaxed structure of KSrPd2 from Alexandria. Energies are from PBE.

abc: 8.3024 8.3024 6.1837
angles: 90.00 90.00 90.00
Last column: nearest neighbours and their distance in Å.
Fractional coordinates of all 16 atoms:
K 0.0000 0.0000 0.0000  4 Pd 3.08, 2 Sr 3.09
K 0.0000 0.5000 0.2500  4 Pd 3.08, 2 Sr 3.09
K 0.5000 0.0000 0.7500  4 Pd 3.08, 2 Sr 3.09
K 0.5000 0.5000 0.5000  4 Pd 3.08, 2 Sr 3.09
Sr 0.0000 0.0000 0.5000  4 Pd 2.99, 2 K 3.09
Sr 0.0000 0.5000 0.7500  4 Pd 2.99, 2 K 3.09
Sr 0.5000 0.0000 0.2500  4 Pd 2.99, 2 K 3.09
Sr 0.5000 0.5000 0.0000  4 Pd 2.99, 2 K 3.09
Pd 0.2426 0.2500 0.6250  2 Sr 2.99, 2 K 3.08, 2 Pd 3.09
Pd 0.2500 0.7426 0.8750  2 Sr 2.99, 2 K 3.08, 2 Pd 3.09
Pd 0.2500 0.7574 0.3750  2 Sr 2.99, 2 K 3.08, 2 Pd 3.09
Pd 0.2574 0.2500 0.1250  2 Sr 2.99, 2 K 3.08, 2 Pd 3.09
Pd 0.7426 0.7500 0.1250  2 Sr 2.99, 2 K 3.08, 2 Pd 3.09
Pd 0.7500 0.2426 0.3750  2 Sr 2.99, 2 K 3.08, 2 Pd 3.09
Pd 0.7500 0.2574 0.8750  2 Sr 2.99, 2 K 3.08, 2 Pd 3.09
Pd 0.7574 0.7500 0.6250  2 Sr 2.99, 2 K 3.08, 2 Pd 3.09

Results
- Fermi-level density of states: 5.49 states/eV/cell
- Total magnetic moment: 0.00 μB/f.u.



two.
Here is a relaxed structure of KSrPd2 from Alexandria. Energies are from PBE.

abc: 7.4863 7.4863 7.4863
angles: 90.00 90.00 90.00
Last column: nearest neighbours and their distance in Å.
Fractional coordinates of all 16 atoms:
K 0.0000 0.0000 0.0000  8 Pd 3.24
K 0.0000 0.5000 0.5000  8 Pd 3.24
K 0.5000 0.0000 0.5000  8 Pd 3.24
K 0.5000 0.5000 0.0000  8 Pd 3.24
Sr 0.0000 0.0000 0.5000  8 Pd 3.24
Sr 0.0000 0.5000 0.0000  8 Pd 3.24
Sr 0.5000 0.0000 0.0000  8 Pd 3.24
Sr 0.5000 0.5000 0.5000  8 Pd 3.24
Pd 0.2500 0.2500 0.2500  4 K 3.24, 4 Sr 3.24
Pd 0.2500 0.2500 0.7500  4 K 3.24, 4 Sr 3.24
Pd 0.2500 0.7500 0.2500  4 K 3.24, 4 Sr 3.24
Pd 0.2500 0.7500 0.7500  4 K 3.24, 4 Sr 3.24
Pd 0.7500 0.2500 0.2500  4 K 3.24, 4 Sr 3.24
Pd 0.7500 0.2500 0.7500  4 K 3.24, 4 Sr 3.24
Pd 0.7500 0.7500 0.2500  4 K 3.24, 4 Sr 3.24
Pd 0.7500 0.7500 0.7500  4 K 3.24, 4 Sr 3.24

Results
- Fermi-level density of states: 12.47 states/eV/cell
- Total magnetic moment: 0.00 μB/f.u.



Stability order, top to bottom: two, one



one.
Here is a relaxed structure of KSr2Pd from Alexandria. Energies are from PBE.

abc: 3.8992 3.8992 11.0055
angles: 90.00 90.00 90.00
Last column: nearest neighbours and their distance in Å.
Fractional coordinates of all 4 atoms:
K 0.0000 0.0000 0.0000  4 K 3.90
Sr 0.5000 0.5000 0.3397  4 Pd 3.27, 1 Sr 3.53
Sr 0.5000 0.5000 0.6603  4 Pd 3.27, 1 Sr 3.53
Pd 0.0000 0.0000 0.5000  8 Sr 3.27

Results
- Fermi-level density of states: 2.40 states/eV/cell
- Total magnetic moment: 0.00 μB/f.u.



two.
Here is a relaxed structure of KSr2Pd from Alexandria. Energies are from PBE.

abc: 4.4613 4.4665 11.2417
angles: 100.94 90.05 119.95
Last column: nearest neighbours and their distance in Å.
Fractional coordinates of all 4 atoms:
K 0.0000 0.0000 0.0000  6 K 4.46-4.47, 6 Sr 4.61-4.66
Sr 0.2182 0.4282 0.6483  3 Pd 3.05
Sr 0.7891 0.5711 0.3517  3 Pd 3.05
Pd 0.5037 0.9996 0.5000  6 Sr 3.05

Results
- Fermi-level density of states: 2.70 states/eV/cell
- Total magnetic moment: 0.00 μB/f.u.



Stability order, top to bottom: two, one